Record 1
{
  "formula": "SiAg3S3",
  "functional": "PBE-GGA",
  "state": "relaxed",
  "lattice_angstrom": [[3.972, -6.869, 0.000], [3.972, 6.869, 0.000], [0.000, 0.000, 5.525]],
  "species": ["Si", "Si", "Ag", "Ag", "Ag", "Ag", "Ag", "Ag", "S", "S", "S", "S", "S", "S"],
  "frac_coords": [[0.167, 0.833, 0.750], [0.833, 0.167, 0.250], [0.074, 0.287, 0.750], [0.287, 0.074, 0.250], [0.287, 0.713, 0.250], [0.713, 0.287, 0.750], [0.713, 0.926, 0.750], [0.926, 0.713, 0.250], [0.134, 0.317, 0.250], [0.317, 0.134, 0.750], [0.318, 0.682, 0.750], [0.682, 0.318, 0.250], [0.683, 0.866, 0.250], [0.866, 0.683, 0.750]],
  "raw_formation_energy_mev_per_atom": -109,
  "dos_ef_per_ev_atom": 0.273
}

---

Record 2
{
  "formula": "Fe2CoNi8",
  "functional": "PBE-GGA",
  "state": "relaxed",
  "lattice_angstrom": [[6.373, -1.768, 0.000], [6.373, 1.768, 0.000], [-1.501, 0.000, 5.395]],
  "species": ["Fe", "Fe", "Co", "Ni", "Ni", "Ni", "Ni", "Ni", "Ni", "Ni", "Ni"],
  "frac_coords": [[0.225, 0.225, 0.143], [0.775, 0.775, 0.857], [0.500, 0.500, 0.500], [0.045, 0.045, 0.228], [0.136, 0.136, 0.683], [0.320, 0.320, 0.591], [0.408, 0.408, 0.049], [0.592, 0.592, 0.951], [0.680, 0.680, 0.409], [0.864, 0.864, 0.317], [0.955, 0.955, 0.772]],
  "delta_e_f_ev_per_atom": -0.032,
  "dos_ef_per_ev_atom": 1.142
}

---

Record 3
{
  "formula": "TcAs2",
  "functional": "PBE-GGA",
  "state": "relaxed",
  "lattice_angstrom": [[6.291, -1.562, 0.000], [6.291, 1.562, 0.000], [-2.923, 0.000, 5.620]],
  "species": ["Tc", "Tc", "As", "As", "As", "As"],
  "frac_coords": [[0.243, 0.243, 0.304], [0.757, 0.757, 0.696], [0.146, 0.146, 0.848], [0.416, 0.416, 0.712], [0.584, 0.584, 0.288], [0.854, 0.854, 0.152]],
  "delta_e_f_ev_per_atom": -0.166,
  "dos_ef_per_ev_atom": 0.349
}